Here is a relaxed structure of Ir2Au3 from the Alexandria database. Energies are from PBE.

It has space group R-3m (No. 166, hexagonal axes), with a = 2.8438 Å, b = 2.8438 Å, c = 35.4161 Å, α = 90.00°, β = 90.00° and γ = 120.00°. Symmetry generates all atoms from Ir at (0.0000, 0.0000, 0.1010), Au at (0.0000, 0.0000, 0.2986) and Au at (0.0000, 0.0000, 0.5000).

The calculation puts the size of the total moment at 1.338 μB per formula unit.

---

Here is a relaxed structure of IrAu2 from the Alexandria database. Energies are from PBE.

It has space group P6_3/mmc (No. 194), with a = 4.6166 Å, b = 4.6166 Å, c = 5.5737 Å, α = 90.00°, β = 90.00° and γ = 120.00°. Symmetry generates all atoms from Ir at (0.3333, 0.6667, 0.2500), Au at (0.0000, 0.0000, 0.0000) and Au at (0.3333, 0.6667, 0.7500).

The energy above the most stable polymorph in this dataset comes out at 296 meV per atom. The calculation puts the size of the total moment at 0.290 μB per formula unit.

---

Here is a relaxed structure of IrAu2 from the Alexandria database. Energies are from PBE.

It has space group C2/m (No. 12), with a = 9.399 Å, b = 2.856 Å, c = 8.257 Å, α = 90.00°, β = 114.26° and γ = 90.00°. Symmetry generates all atoms from Ir at (0.165, 0.000, 0.062), Au at (0.009, 0.500, 0.248) and Au at (0.168, 0.000, 0.595).

The energy above the most stable polymorph in this dataset comes out at 0 meV per atom. The calculation puts the size of the total moment at 0.000 μB per formula unit.

---

Here is a relaxed structure of IrAu2 from the Alexandria database. Energies are from PBE.

It has space group I4/mmm (No. 139), with a = 2.811 Å, b = 2.811 Å, c = 12.787 Å, α = 90.00°, β = 90.00° and γ = 90.00°. Symmetry generates all atoms from Ir at (0.000, 0.000, 0.000) and Au at (0.000, 0.000, 0.338).

The energy above the most stable polymorph in this dataset comes out at 114 meV per atom. The calculation puts the size of the total moment at 0.343 μB per formula unit.

---

Here is a relaxed structure of IrAu2 from the Alexandria database. Energies are from PBE.

It has space group Fd-3m (No. 227, origin choice 2), with a = 7.560 Å, b = 7.560 Å, c = 7.560 Å, α = 90.00°, β = 90.00° and γ = 90.00°. Symmetry generates all atoms from Ir at (0.125, 0.125, 0.125) and Au at (0.000, 0.000, 0.500).

The energy above the most stable polymorph in this dataset comes out at 627 meV per atom. The calculation puts the size of the total moment at 0.848 μB per formula unit.

---

Here is a relaxed structure of Ir3Au4 from the Alexandria database. Energies are from PBE.

It has space group I4/mmm (No. 139), with a = 3.361 Å, b = 3.361 Å, c = 20.791 Å, α = 90.00°, β = 90.00° and γ = 90.00°. Symmetry generates all atoms from Ir at (0.000, 0.000, 0.000), Ir at (0.000, 0.000, 0.277), Au at (0.000, 0.000, 0.145) and Au at (0.000, 0.000, 0.429).

The calculation puts the size of the total moment at 0.306 μB per formula unit.

---

Here is a relaxed structure of IrAu5 from the Alexandria database. Energies are from PBE.

It has space group Cmmm (No. 65), with a = 4.221 Å, b = 11.746 Å, c = 4.216 Å, α = 90.00°, β = 90.00° and γ = 90.00°. Symmetry generates all atoms from Ir at (0.000, 0.000, 0.000), Au at (0.000, 0.163, 0.500), Au at (0.000, 0.335, 0.000) and Au at (0.000, 0.500, 0.500).

The energy above the most stable polymorph in this dataset comes out at 30 meV per atom. The calculation puts the size of the total moment at 0.000 μB per formula unit.

---

Here is a relaxed structure of IrAu5 from the Alexandria database. Energies are from PBE.

It has space group Cm (No. 8), with a = 11.205 Å, b = 2.841 Å, c = 6.904 Å, α = 90.00°, β = 106.99° and γ = 90.00°. Symmetry generates all atoms from Ir at (0.000, 0.000, 0.000), Au at (0.117, 0.500, 0.750), Au at (0.165, 0.500, 0.325), Au at (0.295, 0.000, 0.073), Au at (0.333, 0.000, 0.670) and Au at (0.456, 0.500, 0.407).

The energy above the most stable polymorph in this dataset comes out at 0 meV per atom. The calculation puts the size of the total moment at 0.421 μB per formula unit.

---

Number 1: calculated density 19.588 Mg/m³, total DFT energy (no corrections) -5.17 eV per atom. Number 2: calculated density 18.922 Mg/m³, total DFT energy (no corrections) -4.58 eV per atom. Number 3: calculated density 19.266 Mg/m³, total DFT energy (no corrections) -4.88 eV per atom. Number 4: calculated density 19.268 Mg/m³, total DFT energy (no corrections) -4.77 eV per atom. Number 5: calculated density 18.021 Mg/m³, total DFT energy (no corrections) -4.25 eV per atom. Number 6: calculated density 19.293 Mg/m³, total DFT energy (no corrections) -5.23 eV per atom. Number 7: calculated density 18.699 Mg/m³, total DFT energy (no corrections) -3.97 eV per atom. Number 8: calculated density 18.600 Mg/m³, total DFT energy (no corrections) -4.00 eV per atom.